# 1
Computed, not measured: a relaxed Bi2TeI2 crystal at the PBE level of DFT.

Structure (POSCAR):
```
Bi2TeI2
1.0
-3.612 -1.470 -2.249
-1.662 -1.739 3.805
-7.031 6.479 2.553
I Te Bi
2 1 2
Cartesian
-3.574 0.119 1.157
-8.731 3.151 2.953
0.000 0.000 0.000
-6.640 1.702 0.541
-5.665 1.568 3.568
```

## Properties
ΔE_f (raw), meV per atom: 330
DFT total energy, eV per atom: -2.4709

=====

# 2
Computed, not measured: a relaxed Bi2TeI3 crystal at the PBE level of DFT.

Structure (POSCAR):
```
Bi2TeI3
1.0
4.430 0.000 0.000
2.215 10.877 -0.572
2.215 2.058 11.867
Bi I Te
4 6 2
Cartesian
2.215 7.301 0.960
4.430 2.636 7.588
4.430 10.299 3.707
6.644 5.635 10.335
2.215 1.834 9.627
2.215 3.854 0.750
6.644 11.102 1.668
2.215 3.018 5.369
6.644 9.081 10.545
6.644 9.917 5.926
4.430 7.397 3.097
4.430 5.538 8.198
```

## Properties
ΔE_f (raw), meV per atom: -270
DFT total energy, eV per atom: -2.8627

=====

# 3
Computed, not measured: a relaxed BiTeI3 crystal at the PBE level of DFT.

Structure (POSCAR):
```
BiTeI3
1.0
6.173 0.000 0.000
0.000 6.173 0.000
0.000 0.000 6.173
Te Bi I
1 1 3
Cartesian
3.086 3.086 3.086
0.000 0.000 0.000
0.000 3.086 0.000
0.000 0.000 3.086
3.086 0.000 0.000
```

## Properties
ΔE_f (raw), meV per atom: 184
DFT total energy, eV per atom: -2.1501

=====

# 4
Computed, not measured: a relaxed BiTeI crystal at the PBE level of DFT.

Structure (POSCAR):
```
BiTeI
1.0
-4.079 1.697 -0.143
0.906 -3.344 2.745
5.853 11.114 10.409
Bi Te I
2 2 2
Cartesian
-2.166 1.695 2.187
1.668 7.670 6.885
1.336 7.125 9.891
0.734 -2.784 2.889
0.006 1.364 4.625
2.821 4.637 6.372
```

## Properties
ΔE_f (raw), meV per atom: -362
DFT total energy, eV per atom: -3.2196